Record 1
VASP calculation (PBE-GGA) on crystalline Na3Ce3DyS8 at its relaxed geometry.

Computed properties:
Its total energy is -86.102 eV/cell. As for the crystal system: trigonal. Its density of states at the Fermi level is 13.7 states/eV/cell.

Cell lengths 8.164, 8.164, 8.164 Å; angles 60.24, 60.24, 60.24 degrees
Atoms (fractional coordinates):
Na 0.000 0.500 0.500
Na 0.500 0.000 0.500
Na 0.500 0.500 0.000
Ce 0.000 0.000 0.500
Ce 0.000 0.500 0.000
Ce 0.500 0.000 0.000
Dy 0.500 0.500 0.500
S 0.244 0.244 0.244
S 0.246 0.738 0.738
S 0.262 0.262 0.754
S 0.262 0.754 0.262
S 0.738 0.246 0.738
S 0.738 0.738 0.246
S 0.754 0.262 0.262
S 0.756 0.756 0.756


Record 2
VASP calculation (PBE-GGA) on crystalline LaPm12Dy6 at its relaxed geometry.

Computed properties:
As for the crystal system: trigonal. Its density of states at the Fermi level is 37.7 states/eV/cell. The value obtained for the distance to the lowest polymorph of the same formula is 57 meV per atom.

Cell lengths 8.850, 8.850, 8.850 Å; angles 99.19, 99.19, 99.19 degrees
Atoms (fractional coordinates):
La 0.000 0.000 0.000
Pm 0.082 0.354 0.354
Pm 0.241 0.500 0.759
Pm 0.241 0.759 0.500
Pm 0.354 0.082 0.354
Pm 0.354 0.354 0.082
Pm 0.500 0.241 0.759
Pm 0.500 0.759 0.241
Pm 0.646 0.646 0.918
Pm 0.646 0.918 0.646
Pm 0.759 0.241 0.500
Pm 0.759 0.500 0.241
Pm 0.918 0.646 0.646
Dy 0.100 0.100 0.660
Dy 0.100 0.660 0.100
Dy 0.340 0.900 0.900
Dy 0.660 0.100 0.100
Dy 0.900 0.340 0.900
Dy 0.900 0.900 0.340


Record 3
VASP calculation (PBE-GGA) on crystalline Cd2AgGe2 at its relaxed geometry.

Computed properties:
As for the crystal system: tetragonal. Its density of states at the Fermi level is 3.8 states/eV/cell. The value obtained for the distance to the lowest polymorph of the same formula is 0 meV per atom.

Cell lengths 7.000, 7.000, 4.362 Å; angles 90.00, 90.00, 90.00 degrees
Atoms (fractional coordinates):
Cd 0.179 0.321 0.000
Cd 0.321 0.821 0.000
Cd 0.679 0.179 0.000
Cd 0.821 0.679 0.000
Ag 0.000 0.000 0.500
Ag 0.500 0.500 0.500
Ge 0.133 0.633 0.500
Ge 0.367 0.133 0.500
Ge 0.633 0.867 0.500
Ge 0.867 0.367 0.500


Record 4
VASP calculation (PBE-GGA) on crystalline MgAgTe2 at its relaxed geometry.

Computed properties:
Its total energy is -11.168 eV/cell. As for the crystal system: orthorhombic. Its density of states at the Fermi level is 2.7 states/eV/cell.

Cell lengths 5.610, 5.610, 5.610 Å; angles 135.94, 106.12, 90.22 degrees
Atoms (fractional coordinates):
Mg 0.000 0.000 0.000
Ag 0.500 0.500 0.000
Te 0.252 0.752 0.500
Te 0.748 0.248 0.500


Record 5
VASP calculation (PBE-GGA) on crystalline AcDy4Tm7 at its relaxed geometry.

Computed properties:
As for the crystal system: monoclinic. Its density of states at the Fermi level is 22.0 states/eV/cell. The value obtained for the distance to the lowest polymorph of the same formula is 301 meV per atom.

Cell lengths 6.787, 6.787, 12.479 Å; angles 115.64, 115.64, 52.41 degrees
Atoms (fractional coordinates):
Ac 0.000 0.000 0.000
Dy 0.274 0.274 0.692
Dy 0.380 0.380 0.225
Dy 0.620 0.620 0.775
Dy 0.726 0.726 0.308
Tm 0.042 0.042 0.366
Tm 0.215 0.215 0.917
Tm 0.358 0.358 0.481
Tm 0.500 0.500 0.000
Tm 0.642 0.642 0.519
Tm 0.785 0.785 0.083
Tm 0.958 0.958 0.634


Record 6
VASP calculation (PBE-GGA) on crystalline Mg2RhAu at its relaxed geometry.

Computed properties:
Its total energy is -15.218 eV/cell. As for the crystal system: cubic. Its density of states at the Fermi level is 2.5 states/eV/cell.

Cell lengths 4.577, 4.577, 4.577 Å; angles 60.00, 60.00, 60.00 degrees
Atoms (fractional coordinates):
Mg 0.000 0.000 0.000
Mg 0.250 0.250 0.250
Rh 0.750 0.750 0.750
Au 0.500 0.500 0.500


Record 7
VASP calculation (PBE-GGA) on crystalline Ta2GaCu2 at its relaxed geometry.

Computed properties:
Its total energy is -69.084 eV/cell. As for the crystal system: tetragonal. Its density of states at the Fermi level is 7.1 states/eV/cell.

Cell lengths 6.293, 6.293, 3.849 Å; angles 90.00, 90.00, 90.00 degrees
Atoms (fractional coordinates):
Ta 0.167 0.333 0.000
Ta 0.333 0.833 0.000
Ta 0.667 0.167 0.000
Ta 0.833 0.667 0.000
Ga 0.000 0.000 0.500
Ga 0.500 0.500 0.500
Cu 0.133 0.633 0.500
Cu 0.367 0.133 0.500
Cu 0.633 0.867 0.500
Cu 0.867 0.367 0.500


Record 8
VASP calculation (PBE-GGA) on crystalline YWN3 at its relaxed geometry.

Computed properties:
Its total energy is -194.286 eV/cell. As for the crystal system: monoclinic. Its density of states at the Fermi level is 0.0 states/eV/cell.

Cell lengths 7.198, 5.355, 8.502 Å; angles 90.00, 116.13, 90.00 degrees
Atoms (fractional coordinates):
Y 0.203 0.229 0.113
Y 0.203 0.271 0.613
Y 0.797 0.729 0.387
Y 0.797 0.771 0.887
W 0.392 0.749 0.485
W 0.392 0.751 0.985
W 0.608 0.249 0.015
W 0.608 0.251 0.515
N 0.147 0.674 0.495
N 0.147 0.826 0.995
N 0.314 0.085 0.395
N 0.314 0.415 0.895
N 0.438 0.548 0.324
N 0.438 0.952 0.824
N 0.562 0.048 0.176
N 0.562 0.452 0.676
N 0.686 0.585 0.105
N 0.686 0.915 0.605
N 0.853 0.174 0.005
N 0.853 0.326 0.505